a | RbZnTeI2: optimized geometry, PBE.

Summary:
D(E_F) = 8.07 states/eV/f.u.
Calculated volume = 71.77 A^3/atom
Total moment = 3.09 μB/f.u.

abc: 7.002 7.002 7.320
angles: 90.00 90.00 90.00
Positions (direct):
Rb 0.000 0.000 0.000
Zn 0.500 0.500 0.500
Te 0.000 0.000 0.500
I 0.000 0.500 0.000
I 0.500 0.000 0.000

=====

b | RbZnTeI2: optimized geometry, PBE.

Summary:
D(E_F) = 4.58 states/eV/f.u.
Calculated volume = 38.28 A^3/atom
Total moment = 0.67 μB/f.u.

abc: 5.997 5.997 5.322
angles: 90.00 90.00 90.00
Positions (direct):
Rb 0.000 0.000 0.000
Zn 0.500 0.500 0.500
Te 0.500 0.500 0.000
I 0.000 0.500 0.500
I 0.500 0.000 0.500

=====

Which one sits at the bottom of the stability order? a does.

=====

a | RbZrTe2I: optimized geometry, PBE.

Summary:
D(E_F) = 2.01 states/eV/f.u.
Calculated volume = 38.62 A^3/atom
Total moment = 0.00 μB/f.u.

abc: 5.673 5.673 6.002
angles: 90.00 90.00 90.00
Positions (direct):
Rb 0.000 0.000 0.000
Zr 0.500 0.500 0.500
Te 0.000 0.500 0.500
Te 0.500 0.000 0.500
I 0.500 0.500 0.000

=====

b | RbZrTe2I: optimized geometry, PBE.

Summary:
D(E_F) = 10.93 states/eV/f.u.
Calculated volume = 45.07 A^3/atom
Total moment = 0.52 μB/f.u.

abc: 6.068 6.068 6.119
angles: 90.00 90.00 90.00
Positions (direct):
Rb 0.000 0.000 0.000
Zr 0.500 0.500 0.500
Te 0.000 0.500 0.000
Te 0.500 0.000 0.000
I 0.000 0.000 0.500

=====

Which one sits at the bottom of the stability order? b does.

=====

a | RbTiI4: optimized geometry, PBE.

Summary:
D(E_F) = 1.66 states/eV/f.u.
Calculated volume = 40.37 A^3/atom
Total moment = 0.00 μB/f.u.

abc: 9.660 9.660 7.143
angles: 101.76 101.76 48.22
Positions (direct):
Rb 0.204 0.204 0.218
Rb 0.796 0.796 0.782
Ti 0.482 0.482 0.682
Ti 0.518 0.518 0.318
I 0.173 0.626 0.402
I 0.266 0.734 0.000
I 0.306 0.306 0.773
I 0.374 0.827 0.598
I 0.626 0.173 0.402
I 0.694 0.694 0.227
I 0.734 0.266 0.000
I 0.827 0.374 0.598

=====

b | RbTiI4: optimized geometry, PBE.

Summary:
D(E_F) = 6.15 states/eV/f.u.
Calculated volume = 71.29 A^3/atom
Total moment = 1.00 μB/f.u.

abc: 9.172 9.415 9.907
angles: 90.00 90.00 90.00
Positions (direct):
Rb 0.000 0.000 0.000
Rb 0.500 0.000 0.500
Ti 0.000 0.000 0.500
Ti 0.000 0.500 0.000
I 0.177 0.340 0.142
I 0.177 0.660 0.858
I 0.179 0.148 0.662
I 0.179 0.852 0.338
I 0.821 0.148 0.338
I 0.821 0.852 0.662
I 0.823 0.340 0.858
I 0.823 0.660 0.142

=====

Which one sits at the bottom of the stability order? a does.

=====

a | Rb3TiI6: optimized geometry, PBE.

Summary:
D(E_F) = 20.03 states/eV/f.u.
Calculated volume = 49.41 A^3/atom
Total moment = 1.00 μB/f.u.

abc: 8.874 8.874 8.874
angles: 60.00 60.00 60.00
Positions (direct):
Rb 0.000 0.000 0.000
Rb 0.250 0.250 0.250
Rb 0.750 0.750 0.750
Ti 0.500 0.500 0.500
I 0.276 0.276 0.724
I 0.276 0.724 0.276
I 0.276 0.724 0.724
I 0.724 0.276 0.276
I 0.724 0.276 0.724
I 0.724 0.724 0.276

=====

b | Rb3TiI6: optimized geometry, PBE.

Summary:
D(E_F) = 6.98 states/eV/f.u.
Calculated volume = 47.23 A^3/atom
Total moment = 1.00 μB/f.u.

abc: 8.509 9.010 14.840
angles: 90.00 123.87 90.00
Positions (direct):
Rb 0.000 0.000 0.000
Rb 0.000 0.500 0.500
Rb 0.288 0.085 0.758
Rb 0.288 0.415 0.258
Rb 0.712 0.585 0.742
Rb 0.712 0.915 0.242
Ti 0.500 0.000 0.500
Ti 0.500 0.500 0.000
I 0.174 0.027 0.285
I 0.174 0.473 0.785
I 0.283 0.665 0.057
I 0.283 0.835 0.557
I 0.401 0.230 0.058
I 0.401 0.270 0.558
I 0.599 0.730 0.442
I 0.599 0.770 0.942
I 0.717 0.165 0.443
I 0.717 0.335 0.943
I 0.826 0.527 0.215
I 0.826 0.973 0.715

=====

Which one sits at the bottom of the stability order? a does.

=====

a | Rb2TiI: optimized geometry, PBE.

Summary:
D(E_F) = 0.93 states/eV/f.u.
Calculated volume = 49.28 A^3/atom
Total moment = 3.00 μB/f.u.

abc: 6.533 6.533 6.533
angles: 60.00 60.00 60.00
Positions (direct):
Rb 0.250 0.250 0.250
Rb 0.750 0.750 0.750
Ti 0.000 0.000 0.000
I 0.500 0.500 0.500

=====

b | Rb2TiI: optimized geometry, PBE.

Summary:
D(E_F) = 0.12 states/eV/f.u.
Calculated volume = 57.16 A^3/atom
Total moment = 3.00 μB/f.u.

abc: 8.439 8.439 8.439
angles: 106.07 106.07 116.52
Positions (direct):
Rb 0.094 0.125 0.469
Rb 0.375 0.906 0.031
Rb 0.656 0.625 0.531
Rb 0.875 0.344 0.969
Ti 0.250 0.750 0.500
Ti 0.500 0.500 0.000
I 0.000 0.000 0.000
I 0.750 0.250 0.500

=====

Which one sits at the bottom of the stability order? b does.

=====

a | RbTi3I: optimized geometry, PBE.

Summary:
D(E_F) = 8.37 states/eV/f.u.
Calculated volume = 23.47 A^3/atom
Total moment = 1.64 μB/f.u.

abc: 4.896 4.896 4.896
angles: 90.00 90.00 90.00
Positions (direct):
Rb 0.000 0.000 0.000
Ti 0.000 0.000 0.500
Ti 0.000 0.500 0.000
Ti 0.500 0.000 0.000
I 0.500 0.500 0.500

=====

b | RbTi3I: optimized geometry, PBE.

Summary:
D(E_F) = 7.57 states/eV/f.u.
Calculated volume = 28.34 A^3/atom
Total moment = 0.00 μB/f.u.

abc: 5.214 5.214 5.214
angles: 90.00 90.00 90.00
Positions (direct):
Rb 0.000 0.000 0.000
Ti 0.000 0.500 0.500
Ti 0.500 0.000 0.500
Ti 0.500 0.500 0.000
I 0.500 0.500 0.500

=====

Which one sits at the bottom of the stability order? a does.